# 1
Compound: ScBeTlFe
Source: the Open Quantum Materials Database
Functional: PBE-GGA
Structure: relaxed

CIF file:
```
data_ScBeTlFe
_cell_length_a 4.529
_cell_length_b 4.529
_cell_length_c 4.529
_cell_angle_alpha 60.00
_cell_angle_beta 60.00
_cell_angle_gamma 60.00
_symmetry_space_group_name_H-M 'P 1'
_symmetry_Int_Tables_number 1
loop_
_symmetry_equiv_pos_as_xyz
'x,y,z'
loop_
_atom_site_label
_atom_site_fract_x
_atom_site_fract_y
_atom_site_fract_z
_atom_site_occupancy
Tl1 0.000 0.000 0.000 1
Sc1 0.250 0.250 0.250 1
Be1 0.500 0.500 0.500 1
Fe1 0.750 0.750 0.750 1
```

---

# 2
Compound: BeSnMo2
Source: the Open Quantum Materials Database
Functional: PBE-GGA
Structure: relaxed

CIF file:
```
data_BeSnMo2
_cell_length_a 4.444
_cell_length_b 4.444
_cell_length_c 4.444
_cell_angle_alpha 60.00
_cell_angle_beta 60.00
_cell_angle_gamma 60.00
_symmetry_space_group_name_H-M 'P 1'
_symmetry_Int_Tables_number 1
loop_
_symmetry_equiv_pos_as_xyz
'x,y,z'
loop_
_atom_site_label
_atom_site_fract_x
_atom_site_fract_y
_atom_site_fract_z
_atom_site_occupancy
Sn1 0.500 0.500 0.500 1
Mo1 0.000 0.000 0.000 1
Mo2 0.750 0.750 0.750 1
Be1 0.250 0.250 0.250 1
```

---

# 3
Compound: In2GeAu
Source: the Open Quantum Materials Database
Functional: PBE-GGA
Structure: relaxed

CIF file:
```
data_In2GeAu
_cell_length_a 5.042
_cell_length_b 5.042
_cell_length_c 5.042
_cell_angle_alpha 60.00
_cell_angle_beta 60.00
_cell_angle_gamma 60.00
_symmetry_space_group_name_H-M 'P 1'
_symmetry_Int_Tables_number 1
loop_
_symmetry_equiv_pos_as_xyz
'x,y,z'
loop_
_atom_site_label
_atom_site_fract_x
_atom_site_fract_y
_atom_site_fract_z
_atom_site_occupancy
Au1 0.250 0.250 0.250 1
Ge1 0.500 0.500 0.500 1
In1 0.000 0.000 0.000 1
In2 0.750 0.750 0.750 1
```

---

# 4
Compound: BaLuTlS3
Source: the Open Quantum Materials Database
Functional: PBE-GGA
Structure: relaxed

CIF file:
```
data_BaLuTlS3
_cell_length_a 8.092
_cell_length_b 8.092
_cell_length_c 11.648
_cell_angle_alpha 90.00
_cell_angle_beta 90.00
_cell_angle_gamma 151.13
_symmetry_space_group_name_H-M 'P 1'
_symmetry_Int_Tables_number 1
loop_
_symmetry_equiv_pos_as_xyz
'x,y,z'
loop_
_atom_site_label
_atom_site_fract_x
_atom_site_fract_y
_atom_site_fract_z
_atom_site_occupancy
S1 0.001 0.999 0.250 1
S2 0.612 0.388 0.999 1
S3 0.999 0.001 0.750 1
S4 0.612 0.388 0.501 1
S5 0.388 0.612 0.001 1
S6 0.388 0.612 0.499 1
Ba1 0.349 0.651 0.250 1
Ba2 0.651 0.349 0.750 1
Tl1 0.636 0.364 0.250 1
Tl2 0.364 0.636 0.750 1
Lu1 0.000 0.000 0.500 1
Lu2 0.000 0.000 0.000 1
```

---

# 5
Compound: ZrCoSb
Source: the Open Quantum Materials Database
Functional: PBE-GGA
Structure: relaxed

CIF file:
```
data_ZrCoSb
_cell_length_a 7.843
_cell_length_b 7.843
_cell_length_c 3.171
_cell_angle_alpha 90.00
_cell_angle_beta 90.00
_cell_angle_gamma 120.00
_symmetry_space_group_name_H-M 'P 1'
_symmetry_Int_Tables_number 1
loop_
_symmetry_equiv_pos_as_xyz
'x,y,z'
loop_
_atom_site_label
_atom_site_fract_x
_atom_site_fract_y
_atom_site_fract_z
_atom_site_occupancy
Co1 0.000 0.651 0.500 1
Co2 0.349 0.349 0.500 1
Co3 0.651 0.000 0.500 1
Sb1 0.000 0.000 0.500 1
Sb2 0.333 0.667 0.000 1
Sb3 0.667 0.333 0.000 1
Zr1 0.000 0.299 0.000 1
Zr2 0.701 0.701 0.000 1
Zr3 0.299 0.000 0.000 1
```

---

# 6
Compound: KAgPd
Source: the Open Quantum Materials Database
Functional: PBE-GGA
Structure: relaxed

Computed properties:
Offset from the most stable computed form, meV per atom: 417

CIF file:
```
data_KAgPd
_cell_length_a 4.870
_cell_length_b 4.870
_cell_length_c 4.870
_cell_angle_alpha 60.00
_cell_angle_beta 60.00
_cell_angle_gamma 60.00
_symmetry_space_group_name_H-M 'P 1'
_symmetry_Int_Tables_number 1
loop_
_symmetry_equiv_pos_as_xyz
'x,y,z'
loop_
_atom_site_label
_atom_site_fract_x
_atom_site_fract_y
_atom_site_fract_z
_atom_site_occupancy
Pd1 0.000 0.000 0.000 1
K1 0.750 0.750 0.750 1
Ag1 0.250 0.250 0.250 1
```

---

# 7
Compound: Y4Zn3Co2
Source: the Open Quantum Materials Database
Functional: PBE-GGA
Structure: relaxed

Computed properties:
ΔH_f (0 K), eV/atom: -0.2925

CIF file:
```
data_Y4Zn3Co2
_cell_length_a 7.005
_cell_length_b 3.655
_cell_length_c 7.563
_cell_angle_alpha 90.00
_cell_angle_beta 106.83
_cell_angle_gamma 90.00
_symmetry_space_group_name_H-M 'P 1'
_symmetry_Int_Tables_number 1
loop_
_symmetry_equiv_pos_as_xyz
'x,y,z'
loop_
_atom_site_label
_atom_site_fract_x
_atom_site_fract_y
_atom_site_fract_z
_atom_site_occupancy
Zn1 0.698 0.000 0.980 1
Zn2 0.000 0.000 0.500 1
Zn3 0.302 0.000 0.020 1
Co1 0.653 0.000 0.604 1
Co2 0.347 0.000 0.396 1
Y1 0.915 0.500 0.776 1
Y2 0.085 0.500 0.224 1
Y3 0.607 0.500 0.292 1
Y4 0.393 0.500 0.708 1
```

---

# 8
Compound: UGaSi
Source: the Open Quantum Materials Database
Functional: PBE-GGA
Structure: relaxed

CIF file:
```
data_UGaSi
_cell_length_a 4.626
_cell_length_b 4.626
_cell_length_c 4.626
_cell_angle_alpha 60.00
_cell_angle_beta 60.00
_cell_angle_gamma 60.00
_symmetry_space_group_name_H-M 'P 1'
_symmetry_Int_Tables_number 1
loop_
_symmetry_equiv_pos_as_xyz
'x,y,z'
loop_
_atom_site_label
_atom_site_fract_x
_atom_site_fract_y
_atom_site_fract_z
_atom_site_occupancy
Ga1 0.250 0.250 0.250 1
Si1 0.750 0.750 0.750 1
U1 0.000 0.000 0.000 1
```

---

# 9
Compound: KNa2Dy2
Source: the Open Quantum Materials Database
Functional: PBE-GGA
Structure: relaxed

CIF file:
```
data_KNa2Dy2
_cell_length_a 9.300
_cell_length_b 6.906
_cell_length_c 10.481
_cell_angle_alpha 60.61
_cell_angle_beta 40.31
_cell_angle_gamma 79.08
_symmetry_space_group_name_H-M 'P 1'
_symmetry_Int_Tables_number 1
loop_
_symmetry_equiv_pos_as_xyz
'x,y,z'
loop_
_atom_site_label
_atom_site_fract_x
_atom_site_fract_y
_atom_site_fract_z
_atom_site_occupancy
K1 0.886 0.886 0.614 1
K2 0.636 0.636 0.364 1
Dy1 0.064 0.194 0.733 1
Dy2 0.241 0.517 0.056 1
Dy3 0.517 0.241 0.186 1
Dy4 0.194 0.064 0.009 1
Na1 0.071 0.617 0.835 1
Na2 0.415 0.772 0.179 1
Na3 0.617 0.071 0.478 1
Na4 0.772 0.415 0.633 1
```

---

# 10
Compound: Tm4Lu3Ni2Se2
Source: the Open Quantum Materials Database
Functional: PBE-GGA
Structure: relaxed

CIF file:
```
data_Tm4Lu3Ni2Se2
_cell_length_a 8.910
_cell_length_b 8.910
_cell_length_c 8.910
_cell_angle_alpha 155.73
_cell_angle_beta 67.83
_cell_angle_gamma 117.76
_symmetry_space_group_name_H-M 'P 1'
_symmetry_Int_Tables_number 1
loop_
_symmetry_equiv_pos_as_xyz
'x,y,z'
loop_
_atom_site_label
_atom_site_fract_x
_atom_site_fract_y
_atom_site_fract_z
_atom_site_occupancy
Ni1 0.667 0.931 0.737 1
Ni2 0.194 0.931 0.263 1
Lu1 0.505 0.005 0.500 1
Lu2 0.441 0.624 0.817 1
Lu3 0.808 0.624 0.183 1
Tm1 0.792 0.419 0.373 1
Tm2 0.126 0.266 0.860 1
Tm3 0.407 0.266 0.140 1
Tm4 0.046 0.419 0.627 1
Se1 0.164 0.664 0.500 1
Se2 0.763 0.763 0.000 1
```

---

# 11
Compound: CsKAg
Source: the Open Quantum Materials Database
Functional: PBE-GGA
Structure: relaxed

Computed properties:
Offset from the most stable computed form, meV per atom: 0

CIF file:
```
data_CsKAg
_cell_length_a 6.206
_cell_length_b 6.206
_cell_length_c 6.206
_cell_angle_alpha 60.00
_cell_angle_beta 60.00
_cell_angle_gamma 60.00
_symmetry_space_group_name_H-M 'P 1'
_symmetry_Int_Tables_number 1
loop_
_symmetry_equiv_pos_as_xyz
'x,y,z'
loop_
_atom_site_label
_atom_site_fract_x
_atom_site_fract_y
_atom_site_fract_z
_atom_site_occupancy
Cs1 0.250 0.250 0.250 1
K1 0.750 0.750 0.750 1
Ag1 0.000 0.000 0.000 1
```

---

# 12
Compound: Zr2Os2O5
Source: the Open Quantum Materials Database
Functional: PBE-GGA
Structure: relaxed

Computed properties:
Offset from the most stable computed form, meV per atom: 155

CIF file:
```
data_Zr2Os2O5
_cell_length_a 6.999
_cell_length_b 3.808
_cell_length_c 3.808
_cell_angle_alpha 90.00
_cell_angle_beta 90.00
_cell_angle_gamma 90.00
_symmetry_space_group_name_H-M 'P 1'
_symmetry_Int_Tables_number 1
loop_
_symmetry_equiv_pos_as_xyz
'x,y,z'
loop_
_atom_site_label
_atom_site_fract_x
_atom_site_fract_y
_atom_site_fract_z
_atom_site_occupancy
O1 0.500 0.500 0.500 1
O2 0.725 0.000 0.500 1
O3 0.275 0.000 0.500 1
O4 0.275 0.500 0.000 1
O5 0.725 0.500 0.000 1
Os1 0.808 0.500 0.500 1
Os2 0.192 0.500 0.500 1
Zr1 0.000 0.000 0.000 1
Zr2 0.500 0.000 0.000 1
```

---

| no. | mass density (g/cm3) | total DFT energy (no corrections) (eV/atom) |
| --- | --- | --- |
| 1 | 7.9 | -4.91 |
| 2 | 8.6 | -7.06 |
| 3 | 9.1 | -3.22 |
| 4 | 5.5 | -4.98 |
| 5 | 8.0 | -6.55 |
| 6 | 5.2 | -2.71 |
| 7 | 6.0 | -5.17 |
| 8 | 8.0 | -6.21 |
| 9 | 3.8 | -2.09 |
| 10 | 9.6 | -5.33 |
| 11 | 2.7 | -1.50 |
| 12 | 10.5 | -8.29 |